This record from Alexandria via LeMat-Bulk describes a relaxed Sc2MnO4 crystal. The functional is GGA+U.

Unit cell a=6.3122 b=6.3122 c=6.3120 alpha=119.98 beta=119.97 gamma=90.04
Last column: magnetic moment on the atom in μB.
Fractional positions:
Sc 0.1250 0.3750 0.7500  0.03
Sc 0.6250 0.8750 0.2500  0.03
Sc 0.6250 0.3750 0.7500  0.03
Sc 0.6250 0.3750 0.2500  0.03
O 0.4101 0.1366 0.2735  0.02
O 0.8631 0.1366 0.7265  0.02
O 0.3869 0.6134 0.7735  0.02
O 0.8399 0.6134 0.2265  0.02
O 0.8634 0.5899 0.7265  0.02
O 0.8634 0.1369 0.2735  0.02
O 0.3866 0.1601 0.7735  0.02
O 0.3866 0.6131 0.2265  0.02
Mn 0.0000 0.0000 0.0000  4.61
Mn 0.2499 0.7499 0.5000  4.61

Properties
Crystal system: cubic
DFT total energy, eV per atom: -8.72
Magnetic moment, μB per formula unit: 5.00
Space-group type: No. 227